First-principles (PBE with a Hubbard U) data for an optimized crystal structure of NaLa2CrO6, as listed in Alexandria via LeMat-Bulk. Values from VASP.

Properties
The theoretical density is 5.05 g/cm3. As for the uncorrected energy: -7.219 eV per atom.

Structure (Quantum ESPRESSO input):
```
&SYSTEM
  ibrav = 0, nat = 10, ntyp = 4
/
ATOMIC_SPECIES
Na 22.99 Na.upf
La 138.91 La.upf
Cr 52.00 Cr.upf
O 16.00 O.upf
CELL_PARAMETERS angstrom
5.450 0.000 0.000
0.000 5.450 0.000
0.000 0.000 4.969
ATOMIC_POSITIONS crystal
Na 0.000 0.000 0.000
La 0.000 0.500 0.438
La 0.500 0.000 0.438
Cr 0.500 0.500 0.026
O 0.000 0.000 0.550
O 0.276 0.276 0.155
O 0.276 0.724 0.155
O 0.500 0.500 0.681
O 0.724 0.276 0.155
O 0.724 0.724 0.155
```